DFT (PBE) results for crystalline Pr8Tm5Th at its relaxed geometry.

Calculated values
Its uncorrected energy is -65.478 eV/cell. The formation energy from the elements is 0.1811 eV/atom. Its density of states at the Fermi level is 18.8 states/eV per cell.

Structure (CIF):
```
data_Pr8Tm5Th
_space_group_name_H-M_alt 'P 1'
_space_group_IT_number 1
_cell_length_a 8.555
_cell_length_b 8.703
_cell_length_c 8.714
_cell_angle_alpha 113.54
_cell_angle_beta 117.40
_cell_angle_gamma 97.20
loop_
_space_group_symop_operation_xyz
'x,y,z'
loop_
_atom_site_label
_atom_site_fract_x
_atom_site_fract_y
_atom_site_fract_z
Pr1 0.000 0.000 0.000
Pr2 0.025 0.816 0.435
Pr3 0.167 0.492 0.140
Pr4 0.231 0.298 0.535
Pr5 0.351 0.140 0.893
Pr6 0.484 0.753 0.657
Pr7 0.610 0.384 0.429
Pr8 0.659 0.967 0.151
Tm1 0.136 0.649 0.801
Tm2 0.400 0.955 0.362
Tm3 0.756 0.550 0.904
Tm4 0.842 0.357 0.200
Tm5 0.894 0.181 0.661
Th1 0.547 0.603 0.162
```

DFT (PBE) results for crystalline La3CeNd12 at its relaxed geometry.

Calculated values
Its uncorrected energy is -77.482 eV/cell. The formation energy from the elements is 0.0280 eV/atom. Its density of states at the Fermi level is 28.8 states/eV per cell.

Structure (CIF):
```
data_La3CeNd12
_space_group_name_H-M_alt 'P 4/m m m'
_space_group_IT_number 123
_space_group_name_Hall '-P 4 2'
_cell_length_a 5.211
_cell_length_b 5.211
_cell_length_c 20.820
_cell_angle_alpha 90.00
_cell_angle_beta 90.00
_cell_angle_gamma 90.00
loop_
_atom_site_label
_atom_site_fract_x
_atom_site_fract_y
_atom_site_fract_z
La1 0.000 0.000 0.000
La2 0.000 0.000 0.252
Ce1 0.000 0.000 0.500
Nd1 0.000 0.500 0.126
Nd2 0.000 0.500 0.379
Nd3 0.500 0.500 0.000
Nd4 0.500 0.500 0.251
Nd5 0.500 0.500 0.500
```

DFT (PBE) results for crystalline Sn3PbBr at its relaxed geometry.

Calculated values
Its uncorrected energy is -15.048 eV/cell. The raw formation energy comes out at 0.47 eV/atom. The calculation puts the energy above the most stable polymorph in this dataset at 0 kJ/mol of formula units. Its density of states at the Fermi level is 4.1 states/eV per cell.

Structure (CIF):
```
data_Sn3PbBr
_space_group_name_H-M_alt 'P m -3 m'
_space_group_IT_number 221
_space_group_name_Hall '-P 4 2 3'
_cell_length_a 5.614
_cell_length_b 5.614
_cell_length_c 5.614
_cell_angle_alpha 90.00
_cell_angle_beta 90.00
_cell_angle_gamma 90.00
loop_
_atom_site_label
_atom_site_fract_x
_atom_site_fract_y
_atom_site_fract_z
Sn1 0.000 0.000 0.500
Pb1 0.500 0.500 0.500
Br1 0.000 0.000 0.000
```

DFT (PBE) results for crystalline CrReRu at its relaxed geometry.

Calculated values
Its uncorrected energy is -30.893 eV/cell. The formation energy from the elements is 0.1513 eV/atom. The calculation puts the energy above the most stable polymorph in this dataset at 9 kJ/mol of formula units. Its density of states at the Fermi level is 3.2 states/eV per cell.

Structure (CIF):
```
data_CrReRu
_space_group_name_H-M_alt 'P -6 m 2'
_space_group_IT_number 187
_space_group_name_Hall 'P -6 2'
_cell_length_a 4.2257
_cell_length_b 4.2257
_cell_length_c 2.6716
_cell_angle_alpha 90.00
_cell_angle_beta 90.00
_cell_angle_gamma 120.00
loop_
_atom_site_label
_atom_site_fract_x
_atom_site_fract_y
_atom_site_fract_z
Cr1 0.0000 0.0000 0.0000
Re1 0.3333 0.6667 0.0000
Ru1 0.6667 0.3333 0.5000
```

DFT (PBE) results for crystalline TmCo6Si4 at its relaxed geometry.

Calculated values
Its uncorrected energy is -75.976 eV/cell. The raw formation energy comes out at -0.65 eV/atom. Its density of states at the Fermi level is 6.7 states/eV per cell.

Structure (CIF):
```
data_TmCo6Si4
_space_group_name_H-M_alt 'P -6 m 2'
_space_group_IT_number 187
_space_group_name_Hall 'P -6 2'
_cell_length_a 6.5848
_cell_length_b 6.5848
_cell_length_c 3.5881
_cell_angle_alpha 90.00
_cell_angle_beta 90.00
_cell_angle_gamma 120.00
loop_
_atom_site_label
_atom_site_fract_x
_atom_site_fract_y
_atom_site_fract_z
Tm1 0.0000 0.0000 0.0000
Co1 0.2043 0.4085 0.5000
Co2 0.5342 0.0684 0.0000
Si1 0.3333 0.6667 0.0000
Si2 0.3968 0.1984 0.5000
```

DFT (PBE) results for crystalline Cr2TcNi at its relaxed geometry.

Calculated values
Its uncorrected energy is -69.654 eV/cell. The formation energy from the elements is 0.1417 eV/atom. Its density of states at the Fermi level is 8.6 states/eV per cell.

Structure (CIF):
```
data_Cr2TcNi
_space_group_name_H-M_alt 'C m m m'
_space_group_IT_number 65
_space_group_name_Hall '-C 2 2'
_cell_length_a 3.062
_cell_length_b 4.017
_cell_length_c 8.018
_cell_angle_alpha 90.00
_cell_angle_beta 90.00
_cell_angle_gamma 90.00
loop_
_atom_site_label
_atom_site_fract_x
_atom_site_fract_y
_atom_site_fract_z
Cr1 0.000 0.000 0.238
Tc1 0.000 0.500 0.500
Ni1 0.000 0.500 0.000
```